Record 1
A plane-wave DFT calculation with PBE was carried out for a geometry-optimized Tb2Dy6Ho3Tm structure.

Properties
ΔH_f (0 K) = 17.2 meV per atom
E_tot = -4.57 eV per atom
Spin magnetization = 0.00 μB per formula unit

abc: 6.107 6.107 11.691
angles: 94.97 94.97 119.94
Sites, in units of the cell vectors:
Tb1 0.167 0.833 0.000
Tb2 0.833 0.167 0.000
Dy1 0.083 0.416 0.750
Dy2 0.251 0.251 0.250
Dy3 0.416 0.083 0.750
Dy4 0.584 0.917 0.250
Dy5 0.749 0.749 0.750
Dy6 0.917 0.584 0.250
Ho1 0.000 0.000 0.500
Ho2 0.333 0.667 0.500
Ho3 0.667 0.333 0.500
Tm1 0.500 0.500 0.000

Record 2
A plane-wave DFT calculation with PBE was carried out for a geometry-optimized Tb12Er2In structure.

Properties
ΔH_f (0 K) = 58.6 meV per atom
E_tot = -4.44 eV per atom
Spin magnetization = 0.00 μB per formula unit

abc: 3.570 5.620 23.700
angles: 90.00 90.79 90.00
Sites, in units of the cell vectors:
Tb1 0.203 0.000 0.126
Tb2 0.229 0.500 0.196
Tb3 0.234 0.500 0.326
Tb4 0.244 0.000 0.422
Tb5 0.255 0.500 0.557
Tb6 0.269 0.500 0.933
Tb7 0.731 0.500 0.067
Tb8 0.745 0.500 0.443
Tb9 0.756 0.000 0.578
Tb10 0.766 0.500 0.674
Tb11 0.771 0.500 0.804
Tb12 0.797 0.000 0.874
Er1 0.272 0.000 0.734
Er2 0.728 0.000 0.266
In1 0.500 0.000 0.000

Record 3
A plane-wave DFT calculation with PBE was carried out for a geometry-optimized Sm2TmV structure.

Properties
ΔH_f (0 K) = 618.6 meV per atom
E_tot = -5.14 eV per atom
Spin magnetization = 3.20 μB per formula unit

abc: 11.669 11.669 11.669
angles: 16.76 16.76 16.76
Sites, in units of the cell vectors:
Sm1 0.082 0.082 0.082
Sm2 0.918 0.918 0.918
Tm1 0.500 0.500 0.500
V1 0.000 0.000 0.000

Record 4
A plane-wave DFT calculation with PBE was carried out for a geometry-optimized BaLaFe structure.

Properties
ΔH_f (0 K) = 580.1 meV per atom
E_tot = -4.52 eV per atom
Spin magnetization = 0.97 μB per formula unit

abc: 5.146 5.146 5.146
angles: 60.00 60.00 60.00
Sites, in units of the cell vectors:
Ba1 0.000 0.000 0.000
La1 0.500 0.500 0.500
Fe1 0.250 0.250 0.250

Question: What is the formula in the second record?
Answer: Tb12Er2In